Ti3SnH3 PBE optimized geometry; total magnetic moment = 0.00 μB/cell; calculated total energy = -82.20 eV per cell; symmetry = Pm-3n; density = 5.69 Mg/m³
1.0
5.372 0.000 0.000
0.000 5.372 0.000
0.000 0.000 5.372
H Sn Ti
6 2 6
direct
0.250 0.000 0.500
0.000 0.500 0.250
0.500 0.750 0.000
0.750 0.000 0.500
0.000 0.500 0.750
0.500 0.250 0.000
0.500 0.500 0.500
0.000 0.000 0.000
0.000 0.250 0.500
0.000 0.750 0.500
0.500 0.000 0.750
0.750 0.500 0.000
0.500 0.000 0.250
0.250 0.500 0.000



ZrPa2Te4 PBE optimized geometry; formation energy from raw total energies = -4.76 eV per formula unit; total magnetic moment = 5.12 μB/cell; symmetry = Fdd2; density = 7.86 Mg/m³
1.0
8.055 -0.566 -2.167
-4.303 6.833 -2.167
0.049 0.083 8.485
Zr Pa Te
2 4 8
direct
0.748 0.248 0.500
0.498 0.498 0.000
0.508 0.501 0.510
0.991 0.999 0.490
0.249 0.741 0.990
0.751 0.258 0.010
0.569 0.799 0.852
0.049 0.319 0.352
0.037 0.278 0.835
0.528 0.787 0.335
0.452 0.193 0.665
0.947 0.717 0.148
0.967 0.697 0.648
0.443 0.202 0.165



Sc2VW PBE optimized geometry; formation enthalpy at 0 K = 0.594 eV per atom; total magnetic moment = 1.27 μB/cell; symmetry = R-3m; density = 7.12 Mg/m³
1.0
-4.975 6.089 6.542
-5.026 3.617 8.141
-2.685 5.400 8.261
Sc W V
2 1 1
direct
0.912 0.912 0.912
0.088 0.088 0.088
0.500 0.500 0.500
0.000 0.000 0.000



TbNdSmMg PBE optimized geometry; formation enthalpy at 0 K = -0.033 eV per atom; total magnetic moment = 0.00 μB/cell; symmetry = P4mm; density = 6.37 Mg/m³
1.0
-2.359 -1.584 2.346
2.128 -3.006 0.109
4.649 3.548 7.071
Tb Nd Sm Mg
1 1 1 1
direct
0.500 0.500 0.344
0.000 0.000 0.074
0.500 0.500 0.799
0.000 0.000 0.567



PrNd6Tl5 PBE optimized geometry; formation enthalpy at 0 K = -0.303 eV per atom; total magnetic moment = 0.01 μB/cell; symmetry = Immm; density = 9.19 Mg/m³
1.0
5.044 1.073 0.000
3.147 9.964 0.000
1.573 4.982 7.821
Pr Nd Tl
1 6 5
direct
0.000 0.000 0.000
0.737 0.091 0.343
0.263 0.566 0.343
0.228 0.272 0.000
0.772 0.728 0.000
0.737 0.434 0.657
0.263 0.909 0.657
0.500 0.151 0.698
0.000 0.324 0.353
0.500 0.500 0.000
0.000 0.676 0.647
0.500 0.849 0.302



BePdS PBE optimized geometry; formation energy from raw total energies = 0.56 eV per formula unit; total magnetic moment = 0.00 μB/cell; symmetry = P4/nmm; density = 5.87 Mg/m³
1.0
3.402 0.000 0.000
0.000 3.402 0.000
0.000 0.000 7.203
Be S Pd
2 2 2
direct
0.000 0.500 0.802
0.500 0.000 0.198
0.000 0.000 0.500
0.500 0.500 0.500
0.000 0.500 0.115
0.500 0.000 0.885



Ba2NpH12Rh3 PBE optimized geometry; total magnetic moment = 4.15 μB/cell; calculated total energy = -84.94 eV per cell; symmetry = R-3m; density = 6.75 Mg/m³
1.0
6.280 -0.390 -0.277
2.762 5.653 -0.277
2.762 1.608 5.427
Ba Np H Rh
2 1 12 3
direct
0.617 0.617 0.617
0.383 0.383 0.383
0.000 0.000 0.000
0.277 0.277 0.916
0.877 0.877 0.399
0.399 0.877 0.877
0.916 0.277 0.277
0.877 0.399 0.877
0.277 0.916 0.277
0.723 0.723 0.084
0.123 0.123 0.601
0.601 0.123 0.123
0.084 0.723 0.723
0.123 0.601 0.123
0.723 0.084 0.723
0.500 0.000 0.000
0.000 0.500 0.000
0.000 0.000 0.500



CuSiAg2 PBE optimized geometry; formation energy from raw total energies = 0.81 eV per formula unit; total magnetic moment = 0.00 μB/cell; symmetry = C2/m; density = 8.14 Mg/m³
1.0
4.762 0.006 0.008
3.902 2.731 0.008
0.760 0.240 4.831
Ag Cu Si
2 1 1
direct
0.000 0.000 0.999
0.500 0.500 0.501
0.750 0.750 0.750
0.250 0.250 0.250



BaTl2Cd PBE optimized geometry; formation enthalpy at 0 K = -0.122 eV per atom; total magnetic moment = 0.00 μB/cell; symmetry = I-42d; density = 7.38 Mg/m³
1.0
5.174 0.000 0.000
0.000 5.174 0.000
2.587 2.587 11.076
Tl Ba Cd
4 2 2
direct
0.546 0.125 0.250
0.204 0.625 0.250
0.375 0.454 0.750
0.875 0.796 0.750
0.000 0.000 0.000
0.750 0.250 0.500
0.500 0.500 0.000
0.250 0.750 0.500



Ac6PmCd PBE optimized geometry; formation enthalpy at 0 K = -0.006 eV per atom; total magnetic moment = 0.00 μB/cell; symmetry = I4/mmm; density = 8.33 Mg/m³
1.0
5.258 0.000 1.583
-0.477 5.236 1.584
-0.552 -0.606 11.356
Ac Pm Cd
6 1 1
direct
0.750 0.750 0.500
0.616 0.116 0.767
0.116 0.616 0.767
0.384 0.884 0.233
0.250 0.250 0.500
0.884 0.384 0.233
0.500 0.500 0.000
0.000 0.000 0.000



ErTmTlRu PBE optimized geometry; formation enthalpy at 0 K = -0.453 eV per atom; total magnetic moment = 0.00 μB/cell; symmetry = P4mm; density = 11.45 Mg/m³
1.0
3.359 0.000 0.000
0.000 3.359 0.000
0.000 0.000 8.247
Er Tm Tl Ru
1 1 1 1
direct
0.500 0.500 0.772
0.500 0.500 0.371
0.000 0.000 0.072
0.000 0.000 0.570



Ta2PbW PBE optimized geometry; formation enthalpy at 0 K = 0.672 eV per atom; total magnetic moment = 0.00 μB/cell; symmetry = P4mm; density = 15.88 Mg/m³
1.0
2.890 0.000 0.000
0.000 2.890 0.000
0.000 0.000 9.425
Pb Ta W
1 2 1
direct
0.500 0.500 0.747
0.000 0.000 0.013
0.500 0.500 0.253
0.000 0.000 0.487



PmTcHO6 PBE optimized geometry; total magnetic moment = 0.00 μB/cell; calculated total energy = -62.75 eV per cell; symmetry = P1; density = 5.78 Mg/m³
1.0
-4.096 -0.851 -0.655
-1.378 -4.784 0.868
-0.855 1.762 4.698
Pm Tc H O
1 1 1 6
direct
0.078 0.976 0.929
0.334 0.338 0.457
0.644 0.783 0.522
0.940 0.301 0.348
0.577 0.956 0.653
0.561 0.457 0.777
0.072 0.454 0.800
0.243 0.675 0.334
0.551 0.060 0.179



PmSmLuAl PBE optimized geometry; formation enthalpy at 0 K = -0.082 eV per atom; total magnetic moment = 0.00 μB/cell; symmetry = F-43m; density = 7.46 Mg/m³
1.0
-1.445 4.334 -2.859
-1.432 -0.536 -5.167
-5.145 0.676 -1.454
Lu Al Sm Pm
1 1 1 1
direct
0.750 0.750 0.750
0.250 0.250 0.250
0.000 0.000 0.000
0.500 0.500 0.500



RbAsPt2 PBE optimized geometry; formation enthalpy at 0 K = -0.297 eV per atom; total magnetic moment = 0.00 μB/cell; symmetry = I-42d; density = 7.72 Mg/m³
1.0
5.486 0.000 0.000
0.000 5.486 0.000
2.743 2.743 7.872
As Rb Pt
2 2 4
direct
0.500 0.500 0.000
0.250 0.750 0.500
0.000 0.000 0.000
0.750 0.250 0.500
0.381 0.125 0.250
0.369 0.625 0.250
0.375 0.619 0.750
0.875 0.631 0.750



FeCo4Ir15 PBE optimized geometry; formation enthalpy at 0 K = 0.017 eV per atom; total magnetic moment = 2.53 μB/cell; symmetry = P4/mmm; density = 19.14 Mg/m³
1.0
3.806 0.000 0.000
0.000 3.806 0.000
0.000 0.000 19.019
Fe Co Ir
1 4 15
direct
0.000 0.000 0.000
0.000 0.000 0.201
0.000 0.000 0.398
0.000 0.000 0.602
0.000 0.000 0.799
0.500 0.500 0.000
0.500 0.500 0.200
0.500 0.500 0.400
0.500 0.500 0.600
0.500 0.500 0.800
0.500 0.000 0.100
0.500 0.000 0.300
0.500 0.000 0.500
0.500 0.000 0.700
0.500 0.000 0.900
0.000 0.500 0.100
0.000 0.500 0.300
0.000 0.500 0.500
0.000 0.500 0.700
0.000 0.500 0.900



BeAg PBE optimized geometry; formation enthalpy at 0 K = 0.288 eV per atom; total magnetic moment = 0.00 μB/cell; symmetry = P-6m2; density = 7.20 Mg/m³
1.0
-2.016 0.862 1.742
0.026 -2.648 -0.911
2.237 -1.046 3.106
Be Ag
1 1
direct
0.667 0.333 0.500
0.000 0.000 0.000



La2BiSbSe PBE optimized geometry; formation energy from raw total energies = -0.08 eV per formula unit; total magnetic moment = 0.00 μB/cell; symmetry = P4/mmm; density = 5.46 Mg/m³
1.0
-1.167 -0.505 -6.064
4.248 -3.374 -0.536
-3.703 -4.841 1.116
Sb Bi Se La
1 1 1 2
direct
0.000 0.500 0.000
0.000 0.000 0.000
0.500 0.500 0.500
0.000 0.000 0.500
0.500 0.000 0.000



Pt3Br PBE optimized geometry; formation energy from raw total energies = 1.81 eV per formula unit; total magnetic moment = 0.00 μB/cell; symmetry = P4/mmm; density = 15.45 Mg/m³
1.0
3.175 0.000 0.000
0.000 3.175 0.000
0.000 0.000 7.090
Br Pt
1 3
direct
0.000 0.000 0.000
0.500 0.500 0.284
0.000 0.000 0.500
0.500 0.500 0.716



CeSmAs PBE optimized geometry; formation enthalpy at 0 K = -0.711 eV per atom; total magnetic moment = 1.83 μB/cell; symmetry = R-3m; density = 7.52 Mg/m³
1.0
4.544 0.000 0.000
2.272 3.935 0.000
2.272 1.312 9.030
Sm Ce As
2 2 2
direct
0.290 0.290 0.131
0.710 0.710 0.869
0.140 0.140 0.580
0.860 0.860 0.420
0.417 0.417 0.750
0.583 0.583 0.250



no.,D(E_F) (states/eV/f.u.)
1,4.913
2,10.581
3,5.150
4,4.460
5,13.331
6,0.835
7,7.694
8,1.359
9,2.345
10,11.027
11,1.589
12,2.868
13,1.453
14,6.181
15,2.298
16,23.898
17,0.770
18,3.488
19,5.169
20,5.374